VASP calculation (GGA-PBE) on a geometry-optimized SrMgSeBr2 structure.

M_tot in Bohr magnetons per cell: 0.00
Formation energy from raw total energies in eV per atom: -0.792
Final energy in eV for the cell shown: -14.07

abc: 5.7060 5.7060 6.1007
angles: 90.00 90.00 90.00
Space group P4/mmm (No. 123)
Asymmetric unit:
Sr  0.0000  0.0000  0.0000 (multiplicity 1)
Mg  0.5000  0.5000  0.5000 (multiplicity 1)
Se  0.0000  0.0000  0.5000 (multiplicity 1)
Br  0.0000  0.5000  0.0000 (multiplicity 2)